one.
GdDy after structural relaxation. Source: OQMD, functional PBE-GGA.

```
GdDy
1.0
-1.572 -1.739 2.755
3.476 -0.622 -0.784
1.540 4.177 3.515
Gd Dy
1 1
direct
0.333 0.667 0.250
0.667 0.333 0.750
```

Values from the calculation:
Volume in A^3/atom: 32.139

two.
GdDy after structural relaxation. Source: OQMD, functional PBE-GGA.

```
GdDy
1.0
2.255 -3.950 -0.411
2.888 -1.333 3.277
-1.072 -3.532 2.690
Gd Dy
1 1
direct
0.500 0.500 0.500
0.000 0.000 0.000
```

Values from the calculation:
Volume in A^3/atom: 33.681

three.
GdDy after structural relaxation. Source: OQMD, functional PBE-GGA.

```
GdDy
1.0
3.232 -3.560 1.006
-1.252 -3.675 3.010
-0.687 -4.520 -1.796
Gd Dy
1 1
direct
0.250 0.250 0.250
0.000 0.000 0.000
```

Values from the calculation:
Volume in A^3/atom: 41.913

Which of them is most stable, and which least? Most stable: one; least stable: three.

one.
GdDyNi4 after structural relaxation. Source: OQMD, functional PBE-GGA.

```
GdDyNi4
1.0
0.000 3.580 3.580
3.580 0.000 3.580
3.580 3.580 0.000
Ni Gd Dy
4 1 1
direct
0.875 0.875 0.376
0.875 0.875 0.875
0.376 0.875 0.875
0.875 0.376 0.875
0.250 0.250 0.250
0.500 0.500 0.500
```

Values from the calculation:
Volume in A^3/atom: 15.291

two.
GdDyNi4 after structural relaxation. Source: OQMD, functional PBE-GGA.

```
GdDyNi4
1.0
-3.784 3.077 2.216
2.207 -3.983 2.822
5.685 5.055 2.690
Dy Ni Gd
2 8 2
direct
0.667 0.333 0.500
0.333 0.667 0.500
0.000 0.500 0.774
0.500 0.500 0.226
0.500 0.500 0.774
0.333 0.667 0.000
0.667 0.333 0.000
0.500 0.000 0.774
0.000 0.500 0.226
0.500 0.000 0.226
0.000 0.000 0.500
0.000 0.000 0.000
```

Values from the calculation:
Volume in A^3/atom: 16.712

Which of them is most stable, and which least? Most stable: one; least stable: two.

one.
DyGeHO4 after structural relaxation. Source: OQMD, functional PBE-GGA.

```
DyGeHO4
1.0
-1.210 -1.970 -4.650
10.095 -5.691 -0.217
-2.065 -3.744 2.123
O Dy Ge H
16 4 4 4
direct
0.237 0.041 0.591
0.381 0.797 0.525
0.763 0.041 0.909
0.119 0.297 0.525
0.119 0.703 0.025
0.737 0.459 0.409
0.619 0.797 0.975
0.237 0.959 0.091
0.881 0.297 0.975
0.263 0.541 0.591
0.381 0.203 0.025
0.263 0.459 0.091
0.737 0.541 0.909
0.881 0.703 0.475
0.763 0.959 0.409
0.619 0.203 0.475
0.500 0.619 0.250
0.000 0.881 0.750
0.000 0.119 0.250
0.500 0.381 0.750
0.000 0.607 0.750
0.500 0.893 0.250
0.000 0.393 0.250
0.500 0.107 0.750
0.500 0.202 0.250
0.000 0.298 0.750
0.000 0.702 0.250
0.500 0.798 0.750
```

Values from the calculation:
Volume in A^3/atom: 10.261

two.
DyGeHO4 after structural relaxation. Source: OQMD, functional PBE-GGA.

```
DyGeHO4
1.0
-1.858 -1.423 7.010
3.004 -5.950 -0.412
6.247 3.160 -0.081
O Ge Dy H
16 4 4 4
direct
0.466 0.284 0.810
0.100 0.318 0.048
0.100 0.182 0.548
0.466 0.216 0.310
0.534 0.716 0.190
0.704 0.006 0.073
0.819 0.409 0.248
0.704 0.494 0.573
0.900 0.682 0.952
0.296 0.994 0.927
0.819 0.091 0.748
0.296 0.506 0.427
0.181 0.591 0.752
0.181 0.909 0.252
0.900 0.818 0.452
0.534 0.784 0.690
0.745 0.617 0.357
0.255 0.383 0.643
0.255 0.117 0.143
0.745 0.883 0.857
0.779 0.134 0.418
0.779 0.366 0.918
0.221 0.866 0.582
0.221 0.634 0.082
0.385 0.401 0.391
0.615 0.901 0.109
0.615 0.599 0.609
0.385 0.099 0.891
```

Values from the calculation:
Volume in A^3/atom: 11.684

Which of them is most stable, and which least? Most stable: one; least stable: two.

one.
DyGeHO4 after structural relaxation. Source: OQMD, functional PBE-GGA.

```
DyGeHO4
1.0
4.837 0.000 0.000
0.000 11.067 0.000
0.000 0.000 6.099
O Ge H Dy
16 4 4 4
direct
0.249 0.430 0.250
0.809 0.341 0.963
0.688 0.562 0.250
0.188 0.938 0.750
0.312 0.438 0.750
0.191 0.659 0.463
0.749 0.070 0.750
0.691 0.841 0.963
0.309 0.159 0.037
0.809 0.341 0.537
0.251 0.930 0.250
0.191 0.659 0.037
0.691 0.841 0.537
0.309 0.159 0.463
0.751 0.570 0.750
0.812 0.062 0.250
0.058 0.565 0.250
0.942 0.435 0.750
0.558 0.935 0.750
0.442 0.065 0.250
0.000 0.000 0.500
0.000 0.000 0.000
0.500 0.500 0.500
0.500 0.500 0.000
0.493 0.241 0.750
0.007 0.741 0.750
0.507 0.759 0.250
0.993 0.259 0.250
```

Values from the calculation:
Volume in A^3/atom: 11.660

two.
DyGeHO4 after structural relaxation. Source: OQMD, functional PBE-GGA.

```
DyGeHO4
1.0
-3.207 -5.277 -6.759
4.348 -4.599 1.527
-2.004 0.324 6.683
O Ge Dy H
16 4 4 4
direct
0.763 0.070 0.078
0.558 0.800 0.526
0.237 0.930 0.922
0.283 0.969 0.585
0.283 0.531 0.085
0.925 0.692 0.413
0.237 0.570 0.422
0.442 0.300 0.974
0.925 0.808 0.913
0.717 0.031 0.415
0.075 0.308 0.587
0.075 0.192 0.087
0.558 0.700 0.026
0.442 0.200 0.474
0.763 0.430 0.578
0.717 0.469 0.915
0.249 0.123 0.760
0.249 0.377 0.260
0.751 0.877 0.240
0.751 0.623 0.740
0.776 0.361 0.277
0.776 0.139 0.777
0.224 0.639 0.723
0.224 0.861 0.223
0.393 0.382 0.052
0.607 0.882 0.448
0.393 0.118 0.552
0.607 0.618 0.948
```

Values from the calculation:
Volume in A^3/atom: 11.515

Which of them is most stable, and which least? Most stable: two; least stable: one.

one.
DyHoGe after structural relaxation. Source: OQMD, functional PBE-GGA.

```
DyHoGe
1.0
-9.131 1.805 6.091
7.337 -5.242 -6.514
1.983 -1.454 3.404
Ho Dy Ge
2 2 2
direct
0.939 0.061 0.250
0.061 0.939 0.750
0.680 0.320 0.250
0.320 0.680 0.750
0.184 0.816 0.750
0.816 0.184 0.250
```

Values from the calculation:
Volume in A^3/atom: 29.900

two.
DyHoGe after structural relaxation. Source: OQMD, functional PBE-GGA.

```
DyHoGe
1.0
0.000 3.440 3.440
3.440 0.000 3.440
3.440 3.440 0.000
Ge Ho Dy
1 1 1
direct
0.000 0.000 0.000
0.750 0.750 0.750
0.250 0.250 0.250
```

Values from the calculation:
Volume in A^3/atom: 27.140

Which of them is most stable, and which least? Most stable: two; least stable: one.

one.
DyGeNO after structural relaxation. Source: OQMD, functional PBE-GGA.

```
DyGeNO
1.0
-4.571 -1.304 0.317
1.334 -4.536 0.587
0.144 0.663 4.800
O Dy N Ge
2 2 2 2
direct
0.500 0.500 0.000
0.000 0.000 0.000
0.000 0.000 0.500
0.500 0.500 0.500
0.500 0.000 0.406
0.000 0.500 0.594
0.500 0.000 0.013
0.000 0.500 0.987
```

Values from the calculation:
Volume in A^3/atom: 13.753

two.
DyGeNO after structural relaxation. Source: OQMD, functional PBE-GGA.

```
DyGeNO
1.0
0.891 3.132 0.450
5.814 -1.578 -0.525
-0.254 0.842 -5.350
O Ge N Dy
2 2 2 2
direct
0.500 0.256 0.388
0.500 0.756 0.612
0.500 0.042 0.108
0.500 0.542 0.892
0.000 0.909 0.225
0.000 0.409 0.775
0.000 0.047 0.634
0.000 0.547 0.366
```

Values from the calculation:
Volume in A^3/atom: 13.469

Which of them is most stable, and which least? Most stable: two; least stable: one.